#w
VASP calculation (PBE) on a geometry-optimized Li6Ga2Sn structure.

Geometry as POSCAR:
```
Li6Ga2Sn
1.0
5.5568 -6.4750 0.0000
5.5568 6.4750 0.0000
0.0000 0.0000 4.3340
Li Ga Sn
12 4 2
Direct
0.0005 0.3297 0.5000
0.9995 0.6703 0.5000
0.1560 0.8440 0.0000
0.1762 0.5058 0.0000
0.3297 0.0005 0.5000
0.3375 0.3375 0.5000
0.4942 0.8238 0.0000
0.5058 0.1762 0.0000
0.6625 0.6625 0.5000
0.6703 0.9995 0.5000
0.8238 0.4942 0.0000
0.8440 0.1560 0.0000
0.1792 0.1792 0.0000
0.3293 0.6707 0.5000
0.6707 0.3293 0.5000
0.8208 0.8208 0.0000
0.0000 0.0000 0.5000
0.5000 0.5000 0.0000
```

Computed properties:
space group	Cmmm
total moment	0.00	μB/cell

***

#x
VASP calculation (PBE) on a geometry-optimized Li6Ga2Sn structure.

Geometry as POSCAR:
```
Li6Ga2Sn
1.0
3.9434 2.2767 2.7654
-3.9434 2.2767 2.7654
0.0000 -4.5534 2.7654
Li Ga Sn
6 2 1
Direct
0.0000 0.3324 0.6676
0.0000 0.6676 0.3324
0.3324 0.0000 0.6676
0.3324 0.6676 0.0000
0.6676 0.0000 0.3324
0.6676 0.3324 0.0000
0.1540 0.1540 0.1540
0.8460 0.8460 0.8460
0.5000 0.5000 0.5000
```

Computed properties:
space group	R-3m
total moment	0.00	μB/cell

***

#x has the most favorable energy; the next structure is 50 meV per atom above.